1.
The following is a PBE-GGA calculation of an optimized crystal structure of AlCdFe2, from Alexandria.

Values from the calculation:
Raw total energy ... -5.346 eV/atom
Distance to the lowest polymorph of the same formula ... 0 meV per atom
Energy of formation from the pure elements ... 19 kJ/mol of formula units

a = 2.9606 Å, b = 2.9606 Å, c = 6.7484 Å
α = 90.00°, β = 90.00°, γ = 90.00°
With the nearest neighbours (Å) after each atom.
Space group P4mm (No. 99)
Unique sites:
Al  0.0000  0.0000  0.0000  5 Fe 2.52-2.65
Cd  0.5000  0.5000  0.3268  5 Fe 2.82-3.14, 4 Cd 2.96, 4 Al 3.04
Fe  0.0000  0.0000  0.6069  4 Fe 2.44, 1 Al 2.65
Fe  0.5000  0.5000  0.7922  4 Fe 2.44, 4 Al 2.52

***

2.
The following is a PBE-GGA calculation of an optimized crystal structure of La2ZrAgN, from Alexandria.

Values from the calculation:
Raw total energy ... -6.526 eV/atom
E_form (uncorrected) ... -0.610 eV/atom

a = 5.2435 Å, b = 5.2435 Å, c = 4.3581 Å
α = 90.00°, β = 90.00°, γ = 90.00°
With the nearest neighbours (Å) after each atom.
Space group P4/mmm (No. 123)
Unique sites:
La  0.0000  0.5000  0.0000  2 N 2.62
Zr  0.0000  0.0000  0.5000  2 N 2.18
Ag  0.5000  0.5000  0.5000  8 La 3.41, 4 Zr 3.71
N  0.0000  0.0000  0.0000  2 Zr 2.18

***

3.
The following is a PBE-GGA calculation of an optimized crystal structure of NaGaCuHg2, from Alexandria.

Values from the calculation:
Raw total energy ... -1.779 eV/atom
Energy of formation from the pure elements ... 14 kJ/mol of formula units

a = 5.1509 Å, b = 5.1509 Å, c = 4.6899 Å
α = 90.00°, β = 90.00°, γ = 90.00°
With the nearest neighbours (Å) after each atom.
Space group P4/mmm (No. 123)
Unique sites:
Na  0.0000  0.0000  0.0000  8 Hg 3.48, 4 Ga 3.64
Ga  0.5000  0.5000  0.0000  2 Cu 2.34
Cu  0.5000  0.5000  0.5000  2 Ga 2.34, 4 Hg 2.58
Hg  0.0000  0.5000  0.5000  2 Cu 2.58

***

4.
The following is a PBE-GGA calculation of an optimized crystal structure of Zn5CuNi4, from Alexandria.

Values from the calculation:
Raw total energy ... -3.576 eV/atom
Energy of formation from the pure elements ... -209 kJ/mol of formula units

a = 2.7159 Å, b = 2.7159 Å, c = 16.6633 Å
α = 90.00°, β = 90.00°, γ = 90.00°
With the nearest neighbours (Å) after each atom.
Space group P4/mmm (No. 123)
Unique sites:
Zn  0.0000  0.0000  0.0000  8 Ni 2.52, 4 Zn 2.72
Zn  0.0000  0.0000  0.1962  8 Ni 2.52-2.53, 4 Zn 2.72
Zn  0.0000  0.0000  0.3929  4 Ni 2.52, 4 Cu 2.62, 4 Zn 2.72
Cu  0.5000  0.5000  0.5000  8 Zn 2.62, 4 Cu 2.72
Ni  0.5000  0.5000  0.0983  8 Zn 2.52, 4 Ni 2.72
Ni  0.5000  0.5000  0.2950  8 Zn 2.52-2.53, 4 Ni 2.72

***

5.
The following is a PBE-GGA calculation of an optimized crystal structure of La6ErTm2Sc, from Alexandria.

Values from the calculation:
Raw total energy ... -4.750 eV/atom
Energy of formation from the pure elements ... 183 kJ/mol of formula units

a = 11.4114 Å, b = 7.1156 Å, c = 8.8024 Å
α = 90.00°, β = 106.17°, γ = 90.00°
With the nearest neighbours (Å) after each atom.
Space group C2/m (No. 12)
Unique sites:
La  0.1374  0.0000  0.4339  5 La 3.64-3.69, 1 Er 3.70, 1 Tm 3.94, 3 Sc 4.00-4.01
La  0.1753  0.2782  0.7975  2 La 3.16-3.52, 1 Sc 3.23, 2 Tm 3.29-3.47
Er  0.0000  0.0000  0.0000  10 La 3.62-3.96, 4 Tm 3.90
Tm  0.0895  0.5000  0.1765  1 Tm 3.21, 1 Sc 3.28, 4 La 3.29-3.47
Sc  0.0000  0.5000  0.5000  4 La 3.23, 2 Tm 3.28

***

6.
The following is a PBE-GGA calculation of an optimized crystal structure of Nd4Sm8Dy, from Alexandria.

Values from the calculation:
Raw total energy ... -4.239 eV/atom
Energy of formation from the pure elements ... 610 kJ/mol of formula units

a = 11.2234 Å, b = 11.2234 Å, c = 13.5551 Å
α = 90.00°, β = 90.00°, γ = 120.00°
With the nearest neighbours (Å) after each atom.
Space group R-3m (No. 166, hexagonal axes)
Unique sites:
Nd  0.0000  0.0000  0.0000  8 Sm 3.23-3.29
Nd  0.0000  0.5000  0.0000  8 Sm 3.46-3.49
Sm  0.0000  0.0000  0.2383  4 Nd 3.23-3.49, 1 Dy 3.55
Sm  0.0124  0.5062  0.7438  4 Nd 3.29-3.47, 1 Dy 3.57
Dy  0.0000  0.0000  0.5000  8 Sm 3.55-3.57, 6 Nd 3.95